The following is a DFT calculation (GGA-PBE) of a relaxed LaV3Br crystal.

Cell and atoms, written as POSCAR:
```
LaV3Br
1.0
4.736 0.000 0.000
0.000 4.736 0.000
0.000 0.000 4.736
La V Br
1 3 1
Direct
0.000 0.000 0.000 La
0.000 0.000 0.500 V
0.000 0.500 0.000 V
0.500 0.000 0.000 V
0.500 0.500 0.500 Br
```

Results
**Uncorrected formation energy**: 1924 meV/atom
**Uncorrected energy**: -4.867 eV per atom
**Symmetry**: Pm-3m (221)

***

The following is a DFT calculation (GGA-PBE) of a relaxed Ir2Se crystal.

Cell and atoms, written as POSCAR:
```
Ir2Se
1.0
5.154 0.000 0.000
0.000 5.154 0.000
0.000 0.000 7.804
Ir Se
8 4
Direct
0.180 0.320 0.000 Ir
0.180 0.680 0.500 Ir
0.320 0.180 0.500 Ir
0.320 0.820 0.000 Ir
0.680 0.180 0.000 Ir
0.680 0.820 0.500 Ir
0.820 0.320 0.500 Ir
0.820 0.680 0.000 Ir
0.000 0.000 0.250 Se
0.000 0.000 0.750 Se
0.500 0.500 0.250 Se
0.500 0.500 0.750 Se
```

Results
**Uncorrected formation energy**: 500 meV/atom
**Uncorrected energy**: -6.569 eV per atom
**Symmetry**: I4/mcm (140)

***

The following is a DFT calculation (GGA-PBE) of a relaxed GdDyAlTc crystal.

Cell and atoms, written as POSCAR:
```
GdDyAlTc
1.0
7.058 0.000 0.000
0.000 7.058 0.000
0.000 0.000 7.058
Gd Dy Al Tc
4 4 4 4
Direct
0.000 0.000 0.000 Gd
0.000 0.500 0.500 Gd
0.500 0.000 0.500 Gd
0.500 0.500 0.000 Gd
0.000 0.000 0.500 Dy
0.000 0.500 0.000 Dy
0.500 0.000 0.000 Dy
0.500 0.500 0.500 Dy
0.250 0.250 0.750 Al
0.250 0.750 0.250 Al
0.750 0.250 0.250 Al
0.750 0.750 0.750 Al
0.250 0.250 0.250 Tc
0.250 0.750 0.750 Tc
0.750 0.250 0.750 Tc
0.750 0.750 0.250 Tc
```

Results
**Uncorrected energy**: -8.328 eV per atom
**ΔH_f (0 K)**: -0.130 eV per atom
**Symmetry**: F-43m (216)

***

The following is a DFT calculation (GGA-PBE) of a relaxed SmErOsPd crystal.

Cell and atoms, written as POSCAR:
```
SmErOsPd
1.0
6.940 0.000 0.000
0.000 6.940 0.000
0.000 0.000 6.940
Sm Er Os Pd
4 4 4 4
Direct
0.000 0.000 0.000 Sm
0.000 0.500 0.500 Sm
0.500 0.000 0.500 Sm
0.500 0.500 0.000 Sm
0.000 0.000 0.500 Er
0.000 0.500 0.000 Er
0.500 0.000 0.000 Er
0.500 0.500 0.500 Er
0.250 0.250 0.750 Os
0.250 0.750 0.250 Os
0.750 0.250 0.250 Os
0.750 0.750 0.750 Os
0.250 0.250 0.250 Pd
0.250 0.750 0.750 Pd
0.750 0.250 0.750 Pd
0.750 0.750 0.250 Pd
```

Results
**Uncorrected energy**: -6.912 eV per atom
**ΔH_f (0 K)**: -0.485 eV per atom
**Symmetry**: F-43m (216)

***

The following is a DFT calculation (GGA-PBE) of a relaxed CrP2Au crystal.

Cell and atoms, written as POSCAR:
```
CrP2Au
1.0
3.293 0.000 0.000
-1.647 2.852 0.000
0.000 0.000 20.740
Cr P Au
3 6 3
Direct
0.000 0.000 0.000 Cr
0.333 0.667 0.667 Cr
0.667 0.333 0.333 Cr
0.000 0.000 0.480 P
0.000 0.000 0.747 P
0.333 0.667 0.147 P
0.333 0.667 0.414 P
0.667 0.333 0.081 P
0.667 0.333 0.814 P
0.000 0.000 0.237 Au
0.333 0.667 0.904 Au
0.667 0.333 0.570 Au
```

Results
**Uncorrected energy**: -5.700 eV per atom
**ΔH_f (0 K)**: 0.231 eV per atom
**Symmetry**: R3m (160)

***

The following is a DFT calculation (GGA-PBE) of a relaxed KZrSb crystal.

Cell and atoms, written as POSCAR:
```
KZrSb
1.0
3.303 0.000 0.000
0.000 3.303 0.000
0.000 0.000 16.305
K Zr Sb
2 2 2
Direct
0.000 0.000 0.000 K
0.500 0.500 0.500 K
0.000 0.000 0.294 Zr
0.500 0.500 0.794 Zr
0.000 0.000 0.671 Sb
0.500 0.500 0.171 Sb
```

Results
**Uncorrected formation energy**: 34 meV/atom
**Uncorrected energy**: -4.555 eV per atom
**Symmetry**: I4mm (107)

***

The following is a DFT calculation (GGA-PBE) of a relaxed ZnFe2Pb crystal.

Cell and atoms, written as POSCAR:
```
ZnFe2Pb
1.0
3.256 0.000 0.000
0.000 3.256 0.000
0.000 0.000 6.190
Zn Fe Pb
1 2 1
Direct
0.000 0.000 0.000 Zn
0.500 0.500 0.189 Fe
0.500 0.500 0.811 Fe
0.000 0.000 0.500 Pb
```

Results
**Uncorrected energy**: -5.069 eV per atom
**ΔH_f (0 K)**: 0.408 eV per atom
**Symmetry**: P4/mmm (123)

***

The following is a DFT calculation (GGA-PBE) of a relaxed Li3ClO crystal.

Cell and atoms, written as POSCAR:
```
Li3ClO
1.0
3.315 0.000 0.000
0.000 5.124 0.000
-0.852 0.000 7.004
Li Cl O
6 2 2
Direct
0.198 0.250 0.132 Li
0.279 0.513 0.611 Li
0.279 0.987 0.611 Li
0.721 0.013 0.389 Li
0.721 0.487 0.389 Li
0.802 0.750 0.868 Li
0.341 0.750 0.122 Cl
0.659 0.250 0.878 Cl
0.217 0.250 0.404 O
0.783 0.750 0.596 O
```

Results
**Uncorrected formation energy**: -1769 meV/atom
**Uncorrected energy**: -4.278 eV per atom
**Symmetry**: P2_1/m (11)

***

The following is a DFT calculation (GGA-PBE) of a relaxed BaAg3 crystal.

Cell and atoms, written as POSCAR:
```
BaAg3
1.0
7.555 0.000 0.000
0.000 7.555 0.000
0.000 0.000 7.555
Ba Ag
4 12
Direct
0.000 0.000 0.000 Ba
0.000 0.500 0.500 Ba
0.500 0.000 0.500 Ba
0.500 0.500 0.000 Ba
0.000 0.000 0.500 Ag
0.000 0.500 0.000 Ag
0.250 0.250 0.250 Ag
0.250 0.250 0.750 Ag
0.250 0.750 0.250 Ag
0.250 0.750 0.750 Ag
0.500 0.000 0.000 Ag
0.500 0.500 0.500 Ag
0.750 0.250 0.250 Ag
0.750 0.250 0.750 Ag
0.750 0.750 0.250 Ag
0.750 0.750 0.750 Ag
```

Results
**Uncorrected energy**: -2.635 eV per atom
**ΔH_f (0 K)**: -0.015 eV per atom
**Symmetry**: Fm-3m (225)

***

The following is a DFT calculation (GGA-PBE) of a relaxed Ca2InGaAu6 crystal.

Cell and atoms, written as POSCAR:
```
Ca2InGaAu6
1.0
0.000 5.068 5.068
5.068 0.000 5.068
5.068 5.068 0.000
Ca In Ga Au
2 1 1 6
Direct
0.250 0.250 0.250 Ca
0.750 0.750 0.750 Ca
0.000 0.000 0.000 In
0.500 0.500 0.500 Ga
0.259 0.259 0.741 Au
0.259 0.741 0.259 Au
0.259 0.741 0.741 Au
0.741 0.259 0.259 Au
0.741 0.259 0.741 Au
0.741 0.741 0.259 Au
```

Results
**Uncorrected energy**: -3.156 eV per atom
**ΔH_f (0 K)**: -0.213 eV per atom
**Symmetry**: Fm-3m (225)

***

> The highest uncorrected energy belongs to which entry?

BaAg3

***

Copy entry 4 word for word.
The following is a DFT calculation (GGA-PBE) of a relaxed SmErOsPd crystal.

Cell and atoms, written as POSCAR:
```
SmErOsPd
1.0
6.940 0.000 0.000
0.000 6.940 0.000
0.000 0.000 6.940
Sm Er Os Pd
4 4 4 4
Direct
0.000 0.000 0.000 Sm
0.000 0.500 0.500 Sm
0.500 0.000 0.500 Sm
0.500 0.500 0.000 Sm
0.000 0.000 0.500 Er
0.000 0.500 0.000 Er
0.500 0.000 0.000 Er
0.500 0.500 0.500 Er
0.250 0.250 0.750 Os
0.250 0.750 0.250 Os
0.750 0.250 0.250 Os
0.750 0.750 0.750 Os
0.250 0.250 0.250 Pd
0.250 0.750 0.750 Pd
0.750 0.250 0.750 Pd
0.750 0.750 0.250 Pd
```

Results
**Uncorrected energy**: -6.912 eV per atom
**ΔH_f (0 K)**: -0.485 eV per atom
**Symmetry**: F-43m (216)

***

> Among the records above, which one has the lowest uncorrected energy?

GdDyAlTc